1.
The following is a DFT calculation (PBE) of crystalline Nb12Ga3Ir at its relaxed geometry.

Results
- D(E_F) (states/eV/f.u.) = 18.3
- DFT formation energy (eV/atom) = -0.27

Cell: 5.1878 5.1962 10.3852 Å, 90.00 90.00 90.00°
Closest atoms and distances in Å follow each position.
Space group Pmmm (No. 47)
Asymmetric unit:
Nb 0.0000 0.0000 0.1208 [2 per cell]  2 Nb 2.51-2.61
Nb 0.0000 0.0000 0.3717 [2 per cell]  2 Nb 2.61-2.66, 2 Ga 2.87
Nb 0.2474 0.5000 0.2475 [4 per cell]  2 Nb 2.57-2.62, 1 Ir 2.87
Nb 0.5000 0.2473 0.5000 [2 per cell]  2 Nb 2.57-2.63, 2 Ga 2.87
Nb 0.5000 0.2534 0.0000 [2 per cell]  2 Nb 2.56-2.63
Ga 0.0000 0.5000 0.5000 [1 per cell]  12 Nb 2.91-2.92
Ga 0.5000 0.0000 0.2528 [2 per cell]  12 Nb 2.87-2.94
Ir 0.0000 0.5000 0.0000 [1 per cell]  12 Nb 2.87-2.89



2.
The following is a DFT calculation (PBE) of crystalline TbPW at its relaxed geometry.

Results
- D(E_F) (states/eV/f.u.) = 1.0
- DFT formation energy (eV/atom) = -0.65

Cell: 3.6404 4.1165 7.4271 Å, 90.00 90.00 90.00°
Closest atoms and distances in Å follow each position.
Space group Pmmn (No. 59, origin choice 2)
Asymmetric unit:
Tb 0.2500 0.2500 0.1486 [2 per cell]  5 P 2.87-3.04, 2 W 3.16
P 0.2500 0.2500 0.7388 [2 per cell]  4 W 2.56-2.70
W 0.2500 0.7500 0.5035 [2 per cell]  4 P 2.56-2.70, 4 W 2.75



3.
The following is a DFT calculation (PBE) of crystalline SmMg2Tl at its relaxed geometry.

Results
- relative energy among the computed polymorphs (eV per formula unit) = 0.11
- D(E_F) (states/eV/f.u.) = 2.7
- DFT formation energy (eV/atom) = -0.20

Cell: 4.8722 6.3212 6.7691 Å, 90.00 90.00 90.00°
Closest atoms and distances in Å follow each position.
Space group Pmmn (No. 59, origin choice 2)
Asymmetric unit:
Sm 0.2500 0.2500 0.0944 [2 per cell]  4 Tl 3.27-3.29, 6 Mg 3.42-3.50
Mg 0.2500 0.5052 0.6359 [4 per cell]  4 Mg 3.05-3.23, 3 Tl 3.06-3.17, 2 Sm 3.42
Tl 0.2500 0.7500 0.2280 [2 per cell]  6 Mg 3.06-3.17, 4 Sm 3.27-3.29



4.
The following is a DFT calculation (PBE) of crystalline HoMg2ZnAg4 at its relaxed geometry.

Results
- D(E_F) (states/eV/f.u.) = 3.6
- DFT formation energy (eV/atom) = -0.18

Cell: 4.6965 4.6965 24.5667 Å, 90.00 90.00 120.00°
Closest atoms and distances in Å follow each position.
Space group R-3m (No. 166, hexagonal axes)
Asymmetric unit:
Ho 0.0000 0.0000 0.0000 [3 per cell]  8 Ag 3.06-3.14
Mg 0.0000 0.0000 0.2456 [6 per cell]  7 Ag 2.81-2.89
Zn 0.0000 0.0000 0.5000 [3 per cell]  8 Ag 2.68-2.87
Ag 0.0000 0.0000 0.1280 [6 per cell]  3 Zn 2.87, 4 Mg 2.89, 1 Ho 3.14, 3 Ag 3.22
Ag 0.0000 0.0000 0.3909 [6 per cell]  1 Zn 2.68, 3 Mg 2.81